# Pr4Nd5Sc PBE optimized geometry
data_Pr4Nd5Sc
_chemical_formula_sum 'Pr4 Nd5 Sc1'
_symmetry_space_group_name_H-M 'P 4/m m m'
_symmetry_Int_Tables_number 123
_symmetry_space_group_name_Hall '-P 4 2'
_cell_length_a 3.6857
_cell_length_b 3.6857
_cell_length_c 25.5105
_cell_angle_alpha 90.00
_cell_angle_beta 90.00
_cell_angle_gamma 90.00
loop_
_atom_site_label
_atom_site_type_symbol
_atom_site_fract_x
_atom_site_fract_y
_atom_site_fract_z
Pr1 Pr 0.0000 0.0000 0.1030
Pr2 Pr 0.0000 0.0000 0.3086
Nd1 Nd 0.5000 0.5000 0.0000
Nd2 Nd 0.5000 0.5000 0.2058
Nd3 Nd 0.5000 0.5000 0.4112
Sc1 Sc 0.0000 0.0000 0.5000
# DFT formation energy (eV per atom): 0.0292
# Calculated density (g/cm³): 6.37
# ΔE to the lowest computed polymorph (meV/atom): 0

=====

# Pr5Nd6Sc2 PBE optimized geometry
data_Pr5Nd6Sc2
_chemical_formula_sum 'Pr10 Nd12 Sc4'
_symmetry_space_group_name_H-M 'P b a m'
_symmetry_Int_Tables_number 55
_symmetry_space_group_name_Hall '-P 2 2ab'
_cell_length_a 10.9696
_cell_length_b 22.9933
_cell_length_c 3.5593
_cell_angle_alpha 90.00
_cell_angle_beta 90.00
_cell_angle_gamma 90.00
loop_
_atom_site_label
_atom_site_type_symbol
_atom_site_fract_x
_atom_site_fract_y
_atom_site_fract_z
Pr1 Pr 0.0000 0.0000 0.0000
Pr2 Pr 0.0856 0.2520 0.0000
Pr3 Pr 0.1676 0.5053 0.0000
Nd1 Nd 0.0259 0.3863 0.5000
Nd2 Nd 0.1415 0.1177 0.5000
Nd3 Nd 0.1652 0.8606 0.0000
Sc1 Sc 0.1649 0.7304 0.5000
# DFT formation energy (eV per atom): 0.1344
# Calculated density (g/cm³): 6.14

=====

# Pr7Nd2Sc PBE optimized geometry
data_Pr7Nd2Sc
_chemical_formula_sum 'Pr14 Nd4 Sc2'
_symmetry_space_group_name_H-M 'C m m m'
_symmetry_Int_Tables_number 65
_symmetry_space_group_name_Hall '-C 2 2'
_cell_length_a 6.8163
_cell_length_b 29.4164
_cell_length_c 3.4921
_cell_angle_alpha 90.00
_cell_angle_beta 90.00
_cell_angle_gamma 90.00
loop_
_atom_site_label
_atom_site_type_symbol
_atom_site_fract_x
_atom_site_fract_y
_atom_site_fract_z
Pr1 Pr 0.0000 0.0000 0.0000
Pr2 Pr 0.0000 0.3099 0.5000
Pr3 Pr 0.2381 0.4035 0.0000
Nd1 Nd 0.0000 0.2028 0.0000
Sc1 Sc 0.0000 0.5000 0.5000
# DFT formation energy (eV per atom): 0.1661
# Calculated density (g/cm³): 6.26

=====

# Pr2NdSc5 PBE optimized geometry
data_Pr2NdSc5
_chemical_formula_sum 'Pr4 Nd2 Sc10'
_symmetry_space_group_name_H-M 'I 4 m m'
_symmetry_Int_Tables_number 107
_symmetry_space_group_name_Hall 'I 4 -2'
_cell_length_a 6.9663
_cell_length_b 6.9663
_cell_length_c 9.3056
_cell_angle_alpha 90.00
_cell_angle_beta 90.00
_cell_angle_gamma 90.00
loop_
_atom_site_label
_atom_site_type_symbol
_atom_site_fract_x
_atom_site_fract_y
_atom_site_fract_z
Pr1 Pr 0.0000 0.5000 0.0000
Nd1 Nd 0.0000 0.0000 0.0006
Sc1 Sc 0.0000 0.0000 0.5000
Sc2 Sc 0.2503 0.2503 0.2502
# DFT formation energy (eV per atom): 0.0679
# Calculated density (g/cm³): 4.79